1.
A relaxed Li8CdPt2 crystal. Source: Alexandria, functional GGA-PBE.

Computed properties:
- calculated formation energy (eV/atom) = -0.346
- E (eV for the cell shown) = -32.12
- energy above the most stable polymorph in this dataset (meV/atom) = 0.0

a = 6.868 Å, b = 6.868 Å, c = 7.113 Å
α = 121.17°, β = 121.17°, γ = 37.91°
Fractional positions:
Li (0.039, 0.039, 0.365)
Li (0.151, 0.151, 0.061)
Li (0.308, 0.308, 0.513)
Li (0.383, 0.383, 0.232)
Li (0.617, 0.617, 0.768)
Li (0.692, 0.692, 0.487)
Li (0.849, 0.849, 0.939)
Li (0.961, 0.961, 0.635)
Cd (0.500, 0.500, 0.000)
Pt (0.227, 0.227, 0.775)
Pt (0.773, 0.773, 0.225)



2.
A relaxed TlRuW2 crystal. Source: Alexandria, functional GGA-PBE.

Computed properties:
- calculated formation energy (eV/atom) = 0.733
- E (eV for the cell shown) = -34.62
- energy above the most stable polymorph in this dataset (meV/atom) = 244.4

a = 3.928 Å, b = 3.928 Å, c = 4.363 Å
α = 90.00°, β = 90.00°, γ = 90.00°
Fractional positions:
Tl (0.000, 0.000, 0.000)
Ru (0.500, 0.500, 0.000)
W (0.000, 0.500, 0.500)
W (0.500, 0.000, 0.500)



3.
A relaxed La3NdIr8 crystal. Source: Alexandria, functional GGA-PBE.

Computed properties:
- calculated formation energy (eV/atom) = -0.715
- E (eV for the cell shown) = -99.02

a = 9.456 Å, b = 9.456 Å, c = 9.456 Å
α = 33.60°, β = 33.60°, γ = 33.60°
Fractional positions:
La (0.000, 0.000, 0.000)
La (0.125, 0.125, 0.125)
La (0.625, 0.625, 0.625)
Nd (0.500, 0.500, 0.500)
Ir (0.062, 0.062, 0.562)
Ir (0.062, 0.562, 0.062)
Ir (0.063, 0.563, 0.563)
Ir (0.312, 0.312, 0.312)
Ir (0.562, 0.062, 0.062)
Ir (0.563, 0.063, 0.563)
Ir (0.563, 0.563, 0.063)
Ir (0.813, 0.813, 0.813)



4.
A relaxed Cd3Si crystal. Source: Alexandria, functional GGA-PBE.

Computed properties:
- E (eV for the cell shown) = -7.09
- energy above the most stable polymorph in this dataset (meV/atom) = 62.5
- uncorrected formation energy (eV per atom) = 0.27

a = 4.403 Å, b = 4.403 Å, c = 4.403 Å
α = 90.00°, β = 90.00°, γ = 90.00°
Fractional positions:
Cd (0.000, 0.000, 0.500)
Cd (0.000, 0.500, 0.000)
Cd (0.500, 0.000, 0.000)
Si (0.500, 0.500, 0.500)



5.
A relaxed MgTi3C crystal. Source: Alexandria, functional GGA-PBE.

Computed properties:
- calculated formation energy (eV/atom) = 2.404
- E (eV for the cell shown) = -22.48
- energy above the most stable polymorph in this dataset (meV/atom) = 2717.2

a = 4.653 Å, b = 4.653 Å, c = 4.653 Å
α = 90.00°, β = 90.00°, γ = 90.00°
Fractional positions:
Mg (0.000, 0.000, 0.000)
Ti (0.000, 0.000, 0.500)
Ti (0.000, 0.500, 0.000)
Ti (0.500, 0.000, 0.000)
C (0.500, 0.500, 0.500)



6.
A relaxed Tb3PuPt12 crystal. Source: Alexandria, functional GGA-PBE.

Computed properties:
- calculated formation energy (eV/atom) = -0.939
- E (eV for the cell shown) = -115.74

a = 4.135 Å, b = 4.135 Å, c = 16.528 Å
α = 90.00°, β = 90.00°, γ = 90.00°
Fractional positions:
Tb (0.000, 0.000, 0.000)
Tb (0.000, 0.000, 0.248)
Tb (0.000, 0.000, 0.752)
Pu (0.000, 0.000, 0.500)
Pt (0.000, 0.500, 0.124)
Pt (0.000, 0.500, 0.375)
Pt (0.000, 0.500, 0.625)
Pt (0.000, 0.500, 0.876)
Pt (0.500, 0.000, 0.124)
Pt (0.500, 0.000, 0.375)
Pt (0.500, 0.000, 0.625)
Pt (0.500, 0.000, 0.876)
Pt (0.500, 0.500, 0.000)
Pt (0.500, 0.500, 0.249)
Pt (0.500, 0.500, 0.500)
Pt (0.500, 0.500, 0.751)



7.
A relaxed LiTl2RuO6 crystal. Source: Alexandria, functional GGA-PBE.

Computed properties:
- E (eV for the cell shown) = -109.74
- uncorrected formation energy (eV per atom) = -0.92

a = 5.483 Å, b = 5.543 Å, c = 9.696 Å
α = 90.00°, β = 123.10°, γ = 90.00°
Fractional positions:
Li (0.000, 0.000, 0.000)
Li (0.000, 0.500, 0.500)
Tl (0.215, 0.048, 0.739)
Tl (0.215, 0.452, 0.239)
Tl (0.785, 0.548, 0.761)
Tl (0.785, 0.952, 0.261)
Ru (0.500, 0.000, 0.500)
Ru (0.500, 0.500, 0.000)
O (0.166, 0.201, 0.447)
O (0.166, 0.299, 0.947)
O (0.238, 0.724, 0.425)
O (0.238, 0.776, 0.925)
O (0.397, 0.056, 0.275)
O (0.397, 0.444, 0.775)
O (0.603, 0.556, 0.225)
O (0.603, 0.944, 0.725)
O (0.762, 0.224, 0.075)
O (0.762, 0.276, 0.575)
O (0.834, 0.701, 0.053)
O (0.834, 0.799, 0.553)



8.
A relaxed PmY5Hg4 crystal. Source: Alexandria, functional GGA-PBE.

Computed properties:
- calculated formation energy (eV/atom) = -0.401
- E (eV for the cell shown) = -42.29

a = 3.703 Å, b = 3.703 Å, c = 20.038 Å
α = 90.00°, β = 90.00°, γ = 90.00°
Fractional positions:
Pm (0.000, 0.000, 0.000)
Y (0.500, 0.500, 0.125)
Y (0.500, 0.500, 0.313)
Y (0.500, 0.500, 0.500)
Y (0.500, 0.500, 0.687)
Y (0.500, 0.500, 0.875)
Hg (0.000, 0.000, 0.217)
Hg (0.000, 0.000, 0.405)
Hg (0.000, 0.000, 0.595)
Hg (0.000, 0.000, 0.783)



9.
A relaxed BPAu crystal. Source: Alexandria, functional GGA-PBE.

Computed properties:
- calculated formation energy (eV/atom) = -0.030
- E (eV for the cell shown) = -30.91
- energy above the most stable polymorph in this dataset (meV/atom) = 37.4

a = 10.110 Å, b = 10.110 Å, c = 10.110 Å
α = 18.28°, β = 18.28°, γ = 18.28°
Fractional positions:
B (0.223, 0.223, 0.223)
B (0.777, 0.777, 0.777)
P (0.462, 0.462, 0.462)
P (0.538, 0.538, 0.538)
Au (0.296, 0.296, 0.296)
Au (0.704, 0.704, 0.704)



10.
A relaxed LiCe2Er3Se6 crystal. Source: Alexandria, functional GGA-PBE.

Computed properties:
- E (eV for the cell shown) = -69.13
- uncorrected formation energy (eV per atom) = -1.73

a = 7.072 Å, b = 7.072 Å, c = 7.111 Å
α = 99.60°, β = 99.60°, γ = 120.08°
Fractional positions:
Li (0.000, 0.000, 0.000)
Ce (0.335, 0.665, 0.000)
Ce (0.665, 0.335, 0.000)
Er (0.168, 0.832, 0.500)
Er (0.500, 0.500, 0.500)
Er (0.832, 0.168, 0.500)
Se (0.085, 0.407, 0.257)
Se (0.235, 0.235, 0.743)
Se (0.407, 0.085, 0.257)
Se (0.593, 0.915, 0.743)
Se (0.765, 0.765, 0.257)
Se (0.915, 0.593, 0.743)



11.
A relaxed ScTlAgAu2 crystal. Source: Alexandria, functional GGA-PBE.

Computed properties:
- calculated formation energy (eV/atom) = 0.585
- E (eV for the cell shown) = -15.18

a = 5.180 Å, b = 5.180 Å, c = 5.135 Å
α = 90.00°, β = 90.00°, γ = 90.00°
Fractional positions:
Sc (0.000, 0.000, 0.000)
Tl (0.500, 0.500, 0.500)
Ag (0.500, 0.500, 0.000)
Au (0.000, 0.500, 0.500)
Au (0.500, 0.000, 0.500)



12.
A relaxed MnZnInCu2 crystal. Source: Alexandria, functional GGA-PBE.

Computed properties:
- calculated formation energy (eV/atom) = 1.006
- E (eV for the cell shown) = -16.34

a = 4.832 Å, b = 4.832 Å, c = 4.889 Å
α = 90.00°, β = 90.00°, γ = 90.00°
Fractional positions:
Mn (0.000, 0.000, 0.000)
Zn (0.500, 0.500, 0.000)
In (0.500, 0.500, 0.500)
Cu (0.000, 0.500, 0.500)
Cu (0.500, 0.000, 0.500)



Question: What is the formula in the ninth record?
Answer: BPAu



Question: E of number 1 (Li8CdPt2)?
Answer: -32.12 eV for the cell shown



Question: Look up the E of the eleventh one.
Answer: -15.18 eV for the cell shown



Question: Which formula does entry 2 have?
Answer: TlRuW2